(1)
Li2YAu: PBEsol geometry, SCAN. Values from VASP.

Properties
polymorph energy (0 for the lowest one): 14.1 meV per atom
crystal system: monoclinic
energy of formation: -0.4936 eV/atom

```
&SYSTEM
  ibrav = 0, nat = 4, ntyp = 3
/
ATOMIC_SPECIES
Au 196.97 Au.upf
Y 88.91 Y.upf
Li 6.94 Li.upf
CELL_PARAMETERS angstrom
-1.9549 -3.1607 0.1417
3.3486 -2.0896 -0.4111
1.5848 1.4156 5.7132
ATOMIC_POSITIONS angstrom
Au 2.7372 -0.1820 4.0666
Y -0.0240 -0.6954 3.3392
Li -0.3435 -0.5893 0.1977
Li 0.4237 -3.2404 0.7679
```

=====

(2)
Li2YAu: PBEsol geometry, SCAN. Values from VASP.

Properties
polymorph energy (0 for the lowest one): 80.0 meV per atom
crystal system: monoclinic
energy of formation: -0.4277 eV/atom

```
&SYSTEM
  ibrav = 0, nat = 4, ntyp = 3
/
ATOMIC_SPECIES
Au 196.97 Au.upf
Y 88.91 Y.upf
Li 6.94 Li.upf
CELL_PARAMETERS angstrom
3.4856 0.0171 0.0000
-0.2638 4.6802 0.0000
0.0000 0.0000 5.0693
ATOMIC_POSITIONS angstrom
Au 1.7428 0.0086 2.5347
Y -0.1319 2.3401 2.5347
Li 1.0510 1.0059 0.0000
Li 2.1707 3.6914 0.0000
```